No. 1
Below is a relaxed MgReOs2 crystal, with properties calculated at the PBE level.

The structure belongs to space group Imm2 (No. 44); the cell edges are 3.018, 4.407 and 8.896 Å and the angles 90.00°, 90.00° and 90.00°. The asymmetric unit holds Mg at (0.000, 0.000, 0.000), Re at (0.000, 0.500, 0.246), Os at (0.000, 0.000, 0.502) and Os at (0.000, 0.500, 0.748).

As for the formation energy: 1.13 eV/f.u. The density of states at the Fermi level is 2.5 states/eV/f.u.

No. 2
Below is a relaxed U2CoCu crystal, with properties calculated at the PBE level.

The structure belongs to space group R-3m (No. 166, hexagonal axes); the cell edges are 2.8021, 2.8021 and 31.0265 Å and the angles 90.00°, 90.00° and 120.00°. The asymmetric unit holds U at (0.0000, 0.0000, 0.0917), Co at (0.0000, 0.0000, 0.5000) and Cu at (0.0000, 0.0000, 0.0000).

As for the formation energy: 1.98 eV/f.u. The density of states at the Fermi level is 7.2 states/eV/f.u.

No. 3
Below is a relaxed LiThInTe3 crystal, with properties calculated at the PBE level.

The structure belongs to space group P2_1/m (No. 11); the cell edges are 9.590, 4.530 and 9.956 Å and the angles 90.00°, 103.68° and 90.00°. The asymmetric unit holds Li at (0.081, 0.250, 0.089), Th at (0.326, 0.750, 0.334), In at (0.186, 0.250, 0.744), Te at (0.115, 0.250, 0.377), Te at (0.217, 0.750, 0.019) and Te at (0.441, 0.750, 0.666).

The calculation puts the energy relative to the elements, uncorrected at -0.883 eV per atom.

No. 4
Below is a relaxed TiMn2HgBi crystal, with properties calculated at the PBE level.

The structure belongs to space group P4/mmm (No. 123); the cell edges are 4.799, 4.799 and 5.512 Å and the angles 90.00°, 90.00° and 90.00°. The asymmetric unit holds Ti at (0.000, 0.000, 0.000), Mn at (0.000, 0.500, 0.500), Hg at (0.500, 0.500, 0.500) and Bi at (0.500, 0.500, 0.000).

As for the formation energy: 9.92 eV/f.u. The density of states at the Fermi level is 11.6 states/eV/f.u.

No. 5
Below is a relaxed Sm2NpGa6 crystal, with properties calculated at the PBE level.

The structure belongs to space group P6/mmm (No. 191); the cell edges are 7.6011, 7.6011 and 3.8200 Å and the angles 90.00°, 90.00° and 120.00°. The asymmetric unit holds Sm at (0.3333, 0.6667, 0.0000), Np at (0.0000, 0.0000, 0.0000) and Ga at (0.0000, 0.3322, 0.5000).

As for the formation energy: -4.15 eV/f.u. The density of states at the Fermi level is 10.9 states/eV/f.u.

No. 6
Below is a relaxed ZrIn2Co crystal, with properties calculated at the PBE level.

The structure belongs to space group I-4m2 (No. 119); the cell edges are 4.283, 4.283 and 8.356 Å and the angles 90.00°, 90.00° and 90.00°. The asymmetric unit holds Zr at (0.000, 0.000, 0.000), In at (0.000, 0.000, 0.500), In at (0.000, 0.500, 0.250) and Co at (0.000, 0.500, 0.750).

As for the formation energy: 0.15 eV/f.u. The density of states at the Fermi level is 2.7 states/eV/f.u.

No. 7
Below is a relaxed Zr2InW crystal, with properties calculated at the PBE level.

The structure belongs to space group R-3m (No. 166, hexagonal axes); the cell edges are 3.2785, 3.2785 and 27.9171 Å and the angles 90.00°, 90.00° and 120.00°. The asymmetric unit holds Zr at (0.0000, 0.0000, 0.2409), In at (0.0000, 0.0000, 0.0000) and W at (0.0000, 0.0000, 0.5000).

As for the formation energy: 0.42 eV/f.u. The density of states at the Fermi level is 3.8 states/eV/f.u.

No. 8
Below is a relaxed BaHg2Ru crystal, with properties calculated at the PBE level.

The structure belongs to space group Pm (No. 6); the cell edges are 5.036, 4.560 and 5.478 Å and the angles 90.00°, 102.91° and 90.00°. The asymmetric unit holds Ba at (0.000, 0.000, 0.000), Hg at (0.385, 0.500, 0.653), Hg at (0.611, 0.000, 0.411) and Ru at (0.501, 0.500, 0.160).

As for the formation energy: 0.96 eV/f.u. The density of states at the Fermi level is 2.9 states/eV/f.u.